No. 1
5
Lattice="-3.000 -1.139 2.248 -2.151 -0.664 -3.207 1.351 -3.795 -0.120" Properties=species:S:1:pos:R:3 comment="PBE NbHOsRu2, relaxed" polymorph_energy_mev_per_atom=12 sg="P4/mmm (123)" dos_ef_per_ev_cell=5.18 total_energy_ev_per_atom=-8.738 volume_a3_per_cell=61.9 pbc="T T T"
Ru -1.500 -0.570 1.124
Ru -1.075 -0.332 -1.604
Os -1.900 -2.799 -0.540
Nb 0.675 -1.898 -0.060
H 0.000 0.000 0.000

=====

No. 2
5
Lattice="3.961 0.000 0.000 0.000 3.961 0.000 0.000 0.000 3.944" Properties=species:S:1:pos:R:3 comment="PBE NbHOsRu2, relaxed" polymorph_energy_mev_per_atom=0 sg="P4/mmm (123)" dos_ef_per_ev_cell=5.10 total_energy_ev_per_atom=-8.751 volume_a3_per_cell=61.9 pbc="T T T"
Ru 1.980 0.000 0.000
Ru 0.000 1.980 0.000
Os 0.000 0.000 1.972
H 0.000 0.000 0.000
Nb 1.980 1.980 1.972

=====

No. 3
5
Lattice="-3.155 2.715 -0.288 -2.258 -2.347 2.607 1.537 2.131 3.249" Properties=species:S:1:pos:R:3 comment="PBE Nb2SnHOs, relaxed" sg="P4/mmm (123)" dos_ef_per_ev_cell=3.47 total_energy_ev_per_atom=-7.757 volume_a3_per_cell=72.7 pbc="T T T"
H 0.000 0.000 0.000
Nb -1.577 1.358 -0.144
Nb -1.129 -1.174 1.304
Sn -1.938 1.249 2.784
Os 0.768 1.065 1.625